No. 1
Compound: CoH12Br2O14
Source: Alexandria via LeMat-Bulk
Functional: GGA-PBEsol
Structure: optimized geometry Values from VASP.

```
&SYSTEM
  ibrav = 0, nat = 29, ntyp = 4
/
ATOMIC_SPECIES
Co 58.93 Co.upf
H 1.01 H.upf
Br 79.90 Br.upf
O 16.00 O.upf
ATOMIC_POSITIONS crystal
Co 0.000 0.000 0.000
H 0.062 0.337 0.786
H 0.062 0.725 0.786
H 0.275 0.337 0.786
H 0.275 0.938 0.786
H 0.337 0.062 0.214
H 0.337 0.275 0.214
H 0.663 0.725 0.786
H 0.663 0.938 0.786
H 0.725 0.062 0.214
H 0.725 0.663 0.214
H 0.938 0.275 0.214
H 0.938 0.663 0.214
Br 0.333 0.667 0.324
Br 0.667 0.333 0.676
O 0.098 0.549 0.228
O 0.126 0.253 0.809
O 0.126 0.874 0.809
O 0.253 0.126 0.191
O 0.333 0.667 0.591
O 0.451 0.549 0.228
O 0.451 0.902 0.228
O 0.549 0.098 0.772
O 0.549 0.451 0.772
O 0.667 0.333 0.409
O 0.747 0.874 0.809
O 0.874 0.126 0.191
O 0.874 0.747 0.191
O 0.902 0.451 0.772
CELL_PARAMETERS angstrom
7.596 0.000 0.000
-3.798 6.578 0.000
0.000 0.000 6.119
```

- Space group: P-3m1
- Density of states at the Fermi level: 6.39 states/eV per cell


No. 2
Compound: CoH8Br2O4
Source: Alexandria via LeMat-Bulk
Functional: GGA-PBEsol
Structure: optimized geometry Values from VASP.

```
&SYSTEM
  ibrav = 0, nat = 30, ntyp = 4
/
ATOMIC_SPECIES
Co 58.93 Co.upf
H 1.01 H.upf
Br 79.90 Br.upf
O 16.00 O.upf
ATOMIC_POSITIONS crystal
Co 0.000 0.000 0.000
Co 0.000 0.500 0.500
H 0.104 0.073 0.715
H 0.104 0.427 0.215
H 0.110 0.072 0.338
H 0.110 0.428 0.838
H 0.355 0.715 0.489
H 0.355 0.785 0.989
H 0.373 0.698 0.680
H 0.373 0.802 0.180
H 0.627 0.198 0.820
H 0.627 0.302 0.320
H 0.645 0.215 0.011
H 0.645 0.285 0.511
H 0.890 0.572 0.162
H 0.890 0.928 0.662
H 0.896 0.573 0.785
H 0.896 0.927 0.285
Br 0.312 0.233 0.579
Br 0.312 0.267 0.079
Br 0.688 0.733 0.921
Br 0.688 0.767 0.421
O 0.005 0.503 0.741
O 0.005 0.997 0.241
O 0.256 0.703 0.562
O 0.256 0.797 0.062
O 0.744 0.203 0.938
O 0.744 0.297 0.438
O 0.995 0.003 0.759
O 0.995 0.497 0.259
CELL_PARAMETERS angstrom
6.009 0.000 0.000
0.000 7.198 0.000
-2.873 0.000 7.834
```

- Space group: P2_1/c
- Density of states at the Fermi level: 7.32 states/eV per cell


No. 3
Compound: CoH12Br2O6
Source: Alexandria via LeMat-Bulk
Functional: GGA-PBEsol
Structure: optimized geometry Values from VASP.

```
&SYSTEM
  ibrav = 0, nat = 21, ntyp = 4
/
ATOMIC_SPECIES
Co 58.93 Co.upf
H 1.01 H.upf
Br 79.90 Br.upf
O 16.00 O.upf
ATOMIC_POSITIONS crystal
Co 0.000 0.000 0.000
H 0.187 0.187 0.535
H 0.193 0.577 0.733
H 0.214 0.693 0.215
H 0.269 0.269 0.829
H 0.307 0.786 0.785
H 0.423 0.807 0.267
H 0.577 0.193 0.733
H 0.693 0.214 0.215
H 0.731 0.731 0.171
H 0.786 0.307 0.785
H 0.807 0.423 0.267
H 0.813 0.813 0.465
Br 0.291 0.291 0.173
Br 0.709 0.709 0.827
O 0.149 0.760 0.755
O 0.240 0.851 0.245
O 0.288 0.288 0.700
O 0.712 0.712 0.300
O 0.760 0.149 0.755
O 0.851 0.240 0.245
CELL_PARAMETERS angstrom
5.418 -3.377 0.000
5.418 3.377 0.000
-4.014 0.000 5.404
```

- Space group: C2/m


No. 4
Compound: CoH2SBr
Source: Alexandria via LeMat-Bulk
Functional: GGA-PBEsol
Structure: optimized geometry Values from VASP.

```
&SYSTEM
  ibrav = 0, nat = 5, ntyp = 4
/
ATOMIC_SPECIES
Co 58.93 Co.upf
H 1.01 H.upf
S 32.06 S.upf
Br 79.90 Br.upf
ATOMIC_POSITIONS crystal
Co 0.000 0.000 0.000
H 0.000 0.500 0.000
H 0.500 0.000 0.000
S 0.000 0.000 0.500
Br 0.500 0.500 0.500
CELL_PARAMETERS angstrom
3.625 0.000 0.000
0.000 3.625 0.000
0.000 0.000 4.340
```

- Space group: P4/mmm
- Density of states at the Fermi level: 3.24 states/eV per cell


No. 5
Compound: CoHgBr
Source: Alexandria via LeMat-Bulk
Functional: GGA-PBEsol
Structure: optimized geometry Values from VASP.

```
&SYSTEM
  ibrav = 0, nat = 12, ntyp = 3
/
ATOMIC_SPECIES
Co 58.93 Co.upf
Hg 200.59 Hg.upf
Br 79.90 Br.upf
ATOMIC_POSITIONS crystal
Co 0.000 0.000 0.000
Co 0.000 0.500 0.500
Co 0.500 0.000 0.500
Co 0.500 0.500 0.000
Hg 0.000 0.000 0.349
Hg 0.000 0.500 0.849
Hg 0.500 0.000 0.849
Hg 0.500 0.500 0.349
Br 0.000 0.000 0.609
Br 0.000 0.500 0.109
Br 0.500 0.000 0.109
Br 0.500 0.500 0.609
CELL_PARAMETERS angstrom
4.382 0.000 0.000
0.000 4.393 0.000
0.000 0.000 12.125
```

- Space group: Fmm2
- Formation energy without anion corrections: 0.35 eV/atom
- Density of states at the Fermi level: 8.59 states/eV per cell


No. 6
Compound: Co2HgBr2
Source: Alexandria via LeMat-Bulk
Functional: GGA-PBEsol
Structure: optimized geometry Values from VASP.

```
&SYSTEM
  ibrav = 0, nat = 10, ntyp = 3
/
ATOMIC_SPECIES
Co 58.93 Co.upf
Hg 200.59 Hg.upf
Br 79.90 Br.upf
ATOMIC_POSITIONS crystal
Co 0.000 0.500 0.250
Co 0.000 0.500 0.750
Co 0.500 0.000 0.250
Co 0.500 0.000 0.750
Hg 0.000 0.000 0.000
Hg 0.500 0.500 0.500
Br 0.000 0.000 0.343
Br 0.000 0.000 0.657
Br 0.500 0.500 0.157
Br 0.500 0.500 0.843
CELL_PARAMETERS angstrom
3.623 0.000 0.000
0.000 3.623 0.000
0.000 0.000 17.009
```

- Space group: I4/mmm
- Formation energy without anion corrections: 0.15 eV/atom
- Density of states at the Fermi level: 8.31 states/eV per cell


No. 7
Compound: CoHgBr2
Source: Alexandria via LeMat-Bulk
Functional: GGA-PBEsol
Structure: optimized geometry Values from VASP.

```
&SYSTEM
  ibrav = 0, nat = 8, ntyp = 3
/
ATOMIC_SPECIES
Co 58.93 Co.upf
Hg 200.59 Hg.upf
Br 79.90 Br.upf
ATOMIC_POSITIONS crystal
Co 0.000 0.000 0.000
Co 0.500 0.500 0.000
Hg 0.000 0.500 0.000
Hg 0.500 0.000 0.000
Br 0.250 0.250 0.500
Br 0.250 0.750 0.500
Br 0.750 0.250 0.500
Br 0.750 0.750 0.500
CELL_PARAMETERS angstrom
7.283 0.000 0.000
0.000 7.661 0.000
-1.552 0.000 3.319
```

- Space group: C2/m
- Formation energy without anion corrections: 0.45 eV/atom
- Density of states at the Fermi level: 4.64 states/eV per cell


No. 8
Compound: CoHgSeBr2
Source: Alexandria via LeMat-Bulk
Functional: GGA-PBEsol
Structure: optimized geometry Values from VASP.

```
&SYSTEM
  ibrav = 0, nat = 5, ntyp = 4
/
ATOMIC_SPECIES
Co 58.93 Co.upf
Hg 200.59 Hg.upf
Se 78.96 Se.upf
Br 79.90 Br.upf
ATOMIC_POSITIONS crystal
Co 0.000 0.000 0.000
Hg 0.500 0.500 0.500
Se 0.000 0.000 0.500
Br 0.000 0.500 0.000
Br 0.500 0.000 0.000
CELL_PARAMETERS angstrom
4.965 0.000 0.000
0.000 4.965 0.000
0.000 0.000 4.472
```

- Space group: P4/mmm
- Formation energy without anion corrections: 0.11 eV/atom
- Density of states at the Fermi level: 4.19 states/eV per cell


| no. | magnetization (μB per atom) | E_tot (eV per atom) |
| --- | --- | --- |
| 1 | 0.106 | -4.859 |
| 2 | 0.200 | -4.784 |
| 3 | 0.041 | -4.857 |
| 4 | 0.043 | -3.643 |
| 5 | 0.714 | -3.042 |
| 6 | 0.800 | -3.803 |
| 7 | 0.507 | -2.564 |
| 8 | 0.000 | -3.072 |